A.
Computed, not measured: a relaxed PmEu2Sc crystal at the PBE-GGA level of DFT. Values from VASP.

```
&SYSTEM
  ibrav = 0, nat = 4, ntyp = 3
/
ATOMIC_SPECIES
Pm 145.00 Pm.upf
Eu 151.96 Eu.upf
Sc 44.96 Sc.upf
CELL_PARAMETERS angstrom
5.0809 0.0000 0.0000
0.0000 5.0809 0.0000
0.0000 0.0000 5.2475
ATOMIC_POSITIONS crystal
Pm 0.0000 0.0000 0.0000
Eu 0.0000 0.5000 0.5000
Eu 0.5000 0.0000 0.5000
Sc 0.5000 0.5000 0.0000
```

Values from the calculation:
SG ... P4/mmm, No. 123

---

B.
Computed, not measured: a relaxed PmEu2Sc crystal at the PBE-GGA level of DFT. Values from VASP.

```
&SYSTEM
  ibrav = 0, nat = 4, ntyp = 3
/
ATOMIC_SPECIES
Pm 145.00 Pm.upf
Eu 151.96 Eu.upf
Sc 44.96 Sc.upf
CELL_PARAMETERS angstrom
3.6034 0.0000 0.0000
0.0000 3.6034 0.0000
0.0000 0.0000 10.4572
ATOMIC_POSITIONS crystal
Pm 0.0000 0.0000 0.0000
Eu 0.5000 0.5000 0.2645
Eu 0.5000 0.5000 0.7355
Sc 0.0000 0.0000 0.5000
```

Values from the calculation:
SG ... P4/mmm, No. 123

---

Which of them is most stable? Easy: B.